Entry 1:
Here is a relaxed MgCuSe2N crystal from the Alexandria database. Energies are from PBE-GGA.

Computed properties:
DOS(E_F): 3.23 states/eV/cell
space group: P4/mmm (123)
uncorrected formation energy: 2.1 eV per formula unit

Cell: 5.0639 5.0639 3.5689 Å, 90.00 90.00 90.00°
With the nearest neighbours (Å) after each atom.
Fractional positions:
Se 0.0000 0.5000 0.0000  2 Cu 2.53
Cu 0.0000 0.0000 0.0000  2 N 1.78
Mg 0.5000 0.5000 0.5000  8 Se 3.10
N 0.0000 0.0000 0.5000  2 Cu 1.78
Se 0.5000 0.0000 0.0000  2 Cu 2.53

***

Entry 2:
Here is a relaxed Mg2CuSnN crystal from the Alexandria database. Energies are from PBE-GGA.

Computed properties:
DOS(E_F): 2.34 states/eV/cell
space group: P4/mmm (123)
uncorrected formation energy: -0.7 eV per formula unit

Cell: 4.2336 4.2336 4.4056 Å, 90.00 90.00 90.00°
With the nearest neighbours (Å) after each atom.
Fractional positions:
Cu 0.0000 0.0000 0.5000  2 N 2.20
N 0.0000 0.0000 0.0000  4 Mg 2.12, 2 Cu 2.20
Sn 0.5000 0.5000 0.5000  4 Cu 2.99, 8 Mg 3.06
Mg 0.0000 0.5000 0.0000  2 N 2.12
Mg 0.5000 0.0000 0.0000  2 N 2.12

***

Entry 3:
Here is a relaxed MgCuTe2N crystal from the Alexandria database. Energies are from PBE-GGA.

Computed properties:
DOS(E_F): 3.70 states/eV/cell
space group: P4/mmm (123)
uncorrected formation energy: 2.4 eV per formula unit

Cell: 5.5001 5.5001 3.5622 Å, 90.00 90.00 90.00°
With the nearest neighbours (Å) after each atom.
Fractional positions:
Mg 0.5000 0.5000 0.5000  8 Te 3.28, 2 Mg 3.56
Te 0.0000 0.5000 0.0000  2 Cu 2.75
Cu 0.0000 0.0000 0.0000  2 N 1.78
N 0.0000 0.0000 0.5000  2 Cu 1.78
Te 0.5000 0.0000 0.0000  2 Cu 2.75

***

| no. | total magnetization (Bohr magnetons per cell) | ρ (g/cm³) |
| --- | --- | --- |
| 1 | 1.2 | 4.7 |
| 2 | 0.0 | 5.1 |
| 3 | 1.0 | 5.5 |